[1]
The following is a PBE calculation of an optimized crystal structure of Cd3In5Hg3, from Alexandria.

ΔE_f (eV/atom): 0.062
Total moment (Bohr magnetons per cell): 0.00
Space group: No. 189
Volume (Å³/atom): 27.02

Cell lengths 3.324, 10.161, 10.161 Å; angles 120.00, 90.00, 90.00 degrees
Fractional positions:
In 0.500 0.000 0.347
In 0.500 0.653 0.653
In 0.500 0.333 0.667
In 0.500 0.667 0.333
In 0.500 0.347 0.000
Cd 0.500 0.000 0.832
Cd 0.500 0.168 0.168
Cd 0.500 0.832 0.000
Hg 0.000 0.000 0.597
Hg 0.000 0.597 0.000
Hg 0.000 0.403 0.403

---

[2]
The following is a PBE calculation of an optimized crystal structure of CdIn2Hg6, from Alexandria.

ΔE_f (eV/atom): 0.010
Total moment (Bohr magnetons per cell): 0.00
Space group: No. 12
Volume (Å³/atom): 26.54

Cell lengths 6.287, 6.979, 6.470 Å; angles 57.36, 91.19, 92.21 degrees
Fractional positions:
Hg 0.662 0.677 0.500
Hg 0.159 0.828 0.188
Hg 0.841 0.172 0.812
Hg 0.159 0.516 0.812
Hg 0.841 0.484 0.188
Hg 0.338 0.323 0.500
In 0.500 0.177 0.146
In 0.500 0.823 0.854
Cd 0.000 0.000 0.500

---

[3]
The following is a PBE calculation of an optimized crystal structure of Cd5InHg4, from Alexandria.

ΔE_f (eV/atom): 0.022
Total moment (Bohr magnetons per cell): 0.00
Space group: No. 12
Volume (Å³/atom): 24.53

Cell lengths 3.824, 6.732, 10.612 Å; angles 103.73, 79.62, 73.50 degrees
Fractional positions:
Cd 0.604 0.691 0.102
Cd 0.396 0.309 0.898
Cd 0.202 0.902 0.695
Cd 0.000 0.500 0.500
Cd 0.798 0.098 0.305
Hg 0.794 0.611 0.801
Hg 0.206 0.389 0.199
Hg 0.403 0.795 0.398
Hg 0.597 0.205 0.602
In 0.000 0.000 0.000

---

[4]
The following is a PBE calculation of an optimized crystal structure of Cd3In2Hg2, from Alexandria.

ΔE_f (eV/atom): 0.025
Total moment (Bohr magnetons per cell): 0.00
Space group: No. 65
Volume (Å³/atom): 25.02

Cell lengths 3.348, 4.260, 12.461 Å; angles 80.16, 90.00, 90.00 degrees
Fractional positions:
Cd 0.500 0.435 0.130
Cd 0.000 0.000 0.000
Cd 0.500 0.565 0.870
In 0.500 0.702 0.596
In 0.500 0.298 0.404
Hg 0.000 0.867 0.266
Hg 0.000 0.133 0.734

---

[5]
The following is a PBE calculation of an optimized crystal structure of Cd2InHg7, from Alexandria.

ΔE_f (eV/atom): 0.041
Total moment (Bohr magnetons per cell): 0.00
Space group: No. 65
Volume (Å³/atom): 28.54

Cell lengths 3.318, 10.814, 10.814 Å; angles 132.66, 90.00, 90.00 degrees
Fractional positions:
Cd 0.500 0.675 0.325
Cd 0.500 0.325 0.675
In 0.000 0.000 0.000
Hg 0.500 0.314 0.121
Hg 0.500 0.686 0.879
Hg 0.000 0.801 0.199
Hg 0.500 0.500 0.500
Hg 0.500 0.879 0.686
Hg 0.500 0.121 0.314
Hg 0.000 0.199 0.801

---

[6]
The following is a PBE calculation of an optimized crystal structure of Cd6InHg3, from Alexandria.

ΔE_f (eV/atom): 0.038
Total moment (Bohr magnetons per cell): 0.00
Space group: No. 14
Volume (Å³/atom): 25.19

Cell lengths 5.275, 11.787, 8.101 Å; angles 90.00, 90.00, 90.53 degrees
Fractional positions:
Cd 0.381 0.753 0.481
Cd 0.503 0.912 0.152
Cd 0.004 0.087 0.354
Cd 0.619 0.247 0.519
Cd 0.003 0.412 0.348
Cd 0.504 0.587 0.146
Cd 0.997 0.588 0.652
Cd 0.881 0.253 0.019
Cd 0.996 0.913 0.646
Cd 0.497 0.088 0.848
Cd 0.496 0.413 0.854
Cd 0.119 0.747 0.981
Hg 0.110 0.251 0.683
Hg 0.390 0.249 0.183
Hg 0.610 0.751 0.817
Hg 0.000 0.500 0.000
Hg 0.890 0.749 0.317
Hg 0.500 0.000 0.500
In 0.500 0.500 0.500
In 0.000 0.000 0.000

---

- The lowest ΔE_f belongs to which entry?
  CdIn2Hg6

---

- Look up the total moment of the second one.
  0.00 Bohr magnetons per cell